Version P
Computed, not measured: a relaxed structure of Te2MoRh at the GGA-PBE level of DFT.

Calculated values
Its density of states at the Fermi level is 2.57 states/eV/cell.

Lattice parameters (Å, degrees): 3.570 3.570 7.289 90.00 90.00 90.00
Fractional positions:
Te1 0.000 0.000 0.000
Te2 0.500 0.500 0.473
Mo1 0.000 0.000 0.640
Rh1 0.500 0.500 0.844

Version Q
Computed, not measured: a relaxed structure of Te2MoRh at the GGA-PBE level of DFT.

Calculated values
Its density of states at the Fermi level is 3.82 states/eV/cell.

Lattice parameters (Å, degrees): 3.375 3.378 6.587 90.00 90.19 90.00
Fractional positions:
Te1 0.002 0.000 0.246
Te2 0.998 0.000 0.754
Mo1 0.500 0.500 0.000
Rh1 0.500 0.500 0.500

Version R
Computed, not measured: a relaxed structure of Te2MoRh at the GGA-PBE level of DFT.

Calculated values
Its density of states at the Fermi level is 2.63 states/eV/cell.

Lattice parameters (Å, degrees): 4.827 4.827 4.827 60.00 60.00 60.00
Fractional positions:
Te1 0.000 0.000 0.000
Te2 0.250 0.250 0.250
Mo1 0.750 0.750 0.750
Rh1 0.500 0.500 0.500

Version S
Computed, not measured: a relaxed structure of Te2MoRh at the GGA-PBE level of DFT.

Calculated values
Its density of states at the Fermi level is 3.38 states/eV/cell.

Lattice parameters (Å, degrees): 5.196 5.196 4.695 100.69 100.69 38.73
Fractional positions:
Te1 0.000 0.000 0.000
Te2 0.242 0.242 0.576
Mo1 0.515 0.515 0.460
Rh1 0.742 0.742 0.091

Most stable: version P

Version P
Computed, not measured: a relaxed structure of TiMoRh at the GGA-PBE level of DFT.

Calculated values
Its density of states at the Fermi level is 7.41 states/eV/cell.

Lattice parameters (Å, degrees): 3.646 3.646 7.301 90.00 90.00 90.00
Fractional positions:
Ti1 0.250 0.250 0.138
Ti2 0.750 0.750 0.862
Mo1 0.250 0.750 0.500
Mo2 0.750 0.250 0.500
Rh1 0.250 0.250 0.793
Rh2 0.750 0.750 0.207

Version Q
Computed, not measured: a relaxed structure of TiMoRh at the GGA-PBE level of DFT.

Calculated values
Its density of states at the Fermi level is 5.83 states/eV/cell.

Lattice parameters (Å, degrees): 4.443 6.760 6.760 26.82 90.00 90.00
Fractional positions:
Ti1 0.000 0.000 0.000
Ti2 0.500 0.166 0.166
Mo1 0.500 0.492 0.492
Mo2 0.500 0.829 0.829
Rh1 0.000 0.341 0.341
Rh2 0.000 0.659 0.659

Version R
Computed, not measured: a relaxed structure of TiMoRh at the GGA-PBE level of DFT.

Calculated values
Its density of states at the Fermi level is 5.75 states/eV/cell.

Lattice parameters (Å, degrees): 5.115 5.115 6.212 108.44 108.44 37.18
Fractional positions:
Ti1 0.000 0.000 0.000
Ti2 0.669 0.669 0.823
Mo1 0.339 0.339 0.175
Mo2 0.689 0.689 0.326
Rh1 0.021 0.021 0.498
Rh2 0.335 0.335 0.688

Most stable: version Q